No. 1
A plane-wave DFT calculation with GGA-PBE was carried out for a geometry-optimized Tm8Bi2Rh structure.

Values from the calculation:
**Symmetry**: C2/m (12)
**Calculated total energy**: -5.04 eV per atom
**Spin magnetization**: 0.00 μB/f.u.

Unit cell a=4.6442 b=7.1690 c=9.6777 alpha=95.90 beta=103.88 gamma=90.00
Positions (direct):
Tm  0.4058  0.4782  0.8116
Tm  0.6385  0.0509  0.2769
Tm  0.7872  0.6478  0.5743
Tm  0.0042  0.2305  0.0083
Tm  0.2128  0.3522  0.4257
Tm  0.3615  0.9491  0.7231
Tm  0.5942  0.5218  0.1884
Tm  0.9958  0.7695  0.9917
Bi  0.8175  0.2112  0.6350
Bi  0.1825  0.7888  0.3650
Rh  0.5000  0.0000  0.0000

=====

No. 2
A plane-wave DFT calculation with GGA-PBE was carried out for a geometry-optimized Tm5Bi4Rh structure.

Values from the calculation:
**Symmetry**: I4 (79)
**Calculated total energy**: -5.22 eV per atom
**Spin magnetization**: 0.00 μB/f.u.

Unit cell a=6.2307 b=7.5081 c=7.5081 alpha=80.09 beta=65.49 gamma=65.49
Positions (direct):
Tm  0.9255  0.3694  0.8194
Tm  0.2949  0.8194  0.6306
Tm  0.7449  0.1806  0.3694
Tm  0.1143  0.6306  0.1806
Tm  0.3910  0.0000  0.0000
Bi  0.4335  0.3870  0.7902
Bi  0.8205  0.7902  0.6130
Bi  0.2237  0.2098  0.3870
Bi  0.6107  0.6130  0.2098
Rh  0.9514  0.0000  0.0000

=====

no.,formation enthalpy at 0 K (meV per atom)
1,-417
2,-693